No. 1
# Na3Ho2NpO6

A geometry-optimized Na3Ho2NpO6 structure (PBE-GGA, Alexandria).

The structure in POSCAR format:
```
Na3Ho2NpO6
1.0
2.9798 -5.1623 0.0000
2.9798 5.1623 0.0000
-1.9849 0.0000 5.6253
Na Ho Np O
3 2 1 6
direct
0.0000 0.0000 0.0000 Na
0.3306 0.6694 0.0000 Na
0.6694 0.3306 0.0000 Na
0.1665 0.8335 0.5000 Ho
0.8335 0.1665 0.5000 Ho
0.5000 0.5000 0.5000 Np
0.0899 0.4291 0.2871 O
0.2318 0.2318 0.7134 O
0.4291 0.0899 0.2871 O
0.5709 0.9101 0.7129 O
0.7682 0.7682 0.2866 O
0.9101 0.5709 0.7129 O
```

Properties
Calculated total energy (eV per atom): -7.2430
M_tot (μB per cell): 4.0
Formation energy (no corrections) (meV/atom): -2592.8

***

No. 2
# Rb4Sm3InSe8

A geometry-optimized Rb4Sm3InSe8 structure (PBE-GGA, Alexandria).

The structure in POSCAR format:
```
Rb4Sm3InSe8
1.0
4.2913 2.4776 8.0246
-4.2913 2.4776 8.0246
0.0000 -4.9552 8.0246
Rb Sm In Se
4 3 1 8
direct
0.0000 0.0000 0.0000 Rb
0.0000 0.5000 0.5000 Rb
0.5000 0.0000 0.5000 Rb
0.5000 0.5000 0.0000 Rb
0.0000 0.0000 0.5000 Sm
0.0000 0.5000 0.0000 Sm
0.5000 0.0000 0.0000 Sm
0.5000 0.5000 0.5000 In
0.2332 0.2332 0.2332 Se
0.2408 0.7278 0.7278 Se
0.2722 0.2722 0.7592 Se
0.2722 0.7592 0.2722 Se
0.7278 0.2408 0.7278 Se
0.7278 0.7278 0.2408 Se
0.7592 0.2722 0.2722 Se
0.7668 0.7668 0.7668 Se
```

Properties
Calculated total energy (eV per atom): -4.5263
M_tot (μB per cell): 0.0
Formation energy (no corrections) (meV/atom): -1486.2

***

No. 3
# LiTeMoI2

A geometry-optimized LiTeMoI2 structure (PBE-GGA, Alexandria).

The structure in POSCAR format:
```
LiTeMoI2
1.0
5.3057 0.0000 0.0000
0.0000 5.3057 0.0000
0.0000 0.0000 5.3556
Li Te Mo I
1 1 1 2
direct
0.0000 0.0000 0.0000 Li
0.0000 0.0000 0.5000 Te
0.5000 0.5000 0.5000 Mo
0.0000 0.5000 0.0000 I
0.5000 0.0000 0.0000 I
```

Properties
Polymorph energy (0 for the lowest one) (meV/atom): 596
Calculated total energy (eV per atom): -3.1423
M_tot (μB per cell): 3.5
Formation energy (no corrections) (meV/atom): 655.1

***

No. 4
# Tb2Sm5In5

A geometry-optimized Tb2Sm5In5 structure (PBE-GGA, Alexandria).

The structure in POSCAR format:
```
Tb2Sm5In5
1.0
5.8554 -2.6183 0.0000
5.8554 2.6183 0.0000
-4.0274 0.0000 11.4414
Tb Sm In
2 5 5
direct
0.0704 0.0704 0.2578 Tb
0.9296 0.9296 0.7422 Tb
0.3457 0.3457 0.4987 Sm
0.3656 0.3656 0.2249 Sm
0.5000 0.5000 0.0000 Sm
0.6344 0.6344 0.7751 Sm
0.6543 0.6543 0.5013 Sm
0.0000 0.0000 0.5000 In
0.1714 0.1714 0.9620 In
0.2688 0.2688 0.7290 In
0.7312 0.7312 0.2710 In
0.8286 0.8286 0.0380 In
```

Properties
Calculated total energy (eV per atom): -4.1940
M_tot (μB per cell): 0.0
Energy of formation from the pure elements (eV per formula unit): -3.78

***

Look up the M_tot of the fourth one. 0.0 μB per cell